Density functional theory data (PBE) for a relaxed LaPrTm2Sb4 crystal.

Cell lengths 7.716, 4.475, 7.747 Å; angles 90.00, 109.55, 90.00 degrees
Atoms (fractional coordinates):
La  0.000  0.000  0.000
Pr  0.000  0.500  0.500
Tm  0.500  0.000  0.500
Tm  0.500  0.500  0.000
Sb  0.265  0.000  0.754
Sb  0.266  0.500  0.256
Sb  0.734  0.500  0.744
Sb  0.735  0.000  0.246

Values from the calculation:
Energy = -5.537 eV/atom
Space group = P2/m, No. 10
Crystal system = monoclinic
Spin magnetization = 0.00 μB per formula unit
Uncorrected formation energy = -1144 meV per atom


Density functional theory data (PBE) for a relaxed Tb4SnTe4 crystal.

Cell lengths 7.660, 7.660, 10.825 Å; angles 118.83, 118.83, 33.13 degrees
Atoms (fractional coordinates):
Tb  0.096  0.096  0.400
Tb  0.302  0.302  0.199
Tb  0.698  0.698  0.801
Tb  0.904  0.904  0.600
Sn  0.500  0.500  0.500
Te  0.102  0.102  0.901
Te  0.303  0.303  0.702
Te  0.697  0.697  0.298
Te  0.898  0.898  0.099

Values from the calculation:
Energy = -5.169 eV/atom
Space group = C2/m, No. 12
Crystal system = monoclinic
Spin magnetization = 0.00 μB per formula unit
Uncorrected formation energy = -1270 meV per atom


Density functional theory data (PBE) for a relaxed Fe3AsBr crystal.

Cell lengths 4.468, 4.468, 4.468 Å; angles 90.00, 90.00, 90.00 degrees
Atoms (fractional coordinates):
Fe  0.000  0.000  0.500
Fe  0.000  0.500  0.000
Fe  0.500  0.000  0.000
As  0.500  0.500  0.500
Br  0.000  0.000  0.000

Values from the calculation:
Energy = -5.152 eV/atom
Space group = Pm-3m, No. 221
Distance to the lowest polymorph of the same formula = 42.31 kJ/mol of atoms
Crystal system = cubic
Spin magnetization = 7.75 μB per formula unit
Uncorrected formation energy = 1190 meV per atom


Density functional theory data (PBE) for a relaxed YNi2Rh4 crystal.

Cell lengths 4.993, 6.530, 6.546 Å; angles 90.00, 90.00, 90.00 degrees
Atoms (fractional coordinates):
Y  0.000  0.000  0.000
Y  0.500  0.500  0.500
Ni  0.250  0.000  0.500
Ni  0.250  0.500  0.000
Ni  0.750  0.000  0.500
Ni  0.750  0.500  0.000
Rh  0.000  0.301  0.301
Rh  0.000  0.301  0.699
Rh  0.000  0.699  0.301
Rh  0.000  0.699  0.699
Rh  0.500  0.199  0.199
Rh  0.500  0.199  0.801
Rh  0.500  0.801  0.199
Rh  0.500  0.801  0.801

Values from the calculation:
Energy = -6.981 eV/atom
Space group = Immm, No. 71
Crystal system = orthorhombic
E_form = -0.20 eV/atom
Spin magnetization = 1.45 μB per formula unit


Density functional theory data (PBE) for a relaxed NaNpPd2 crystal.

Cell lengths 3.230, 3.230, 7.875 Å; angles 90.00, 90.00, 90.00 degrees
Atoms (fractional coordinates):
Na  0.000  0.000  0.000
Np  0.000  0.000  0.500
Pd  0.500  0.500  0.263
Pd  0.500  0.500  0.737

Values from the calculation:
Energy = -6.269 eV/atom
Space group = P4/mmm, No. 123
Distance to the lowest polymorph of the same formula = 0.00 kJ/mol of atoms
Crystal system = tetragonal
E_form = -0.11 eV/atom
Spin magnetization = 4.04 μB per formula unit


Density functional theory data (PBE) for a relaxed Pm2S2I crystal.

Cell lengths 4.396, 5.586, 13.332 Å; angles 90.00, 90.00, 90.00 degrees
Atoms (fractional coordinates):
Pm  0.000  0.000  0.191
Pm  0.000  0.000  0.809
Pm  0.500  0.500  0.309
Pm  0.500  0.500  0.691
S  0.000  0.500  0.186
S  0.000  0.500  0.814
S  0.500  0.000  0.314
S  0.500  0.000  0.686
I  0.000  0.500  0.500
I  0.500  0.000  0.000

Values from the calculation:
Energy = -5.629 eV/atom
Space group = Immm, No. 71
Crystal system = orthorhombic
Spin magnetization = 0.00 μB per formula unit
Uncorrected formation energy = -1768 meV per atom